# 1
Material: InCoPb2
Method: DFT, GGA-PBE
State: optimized geometry

abc: 5.0170 5.0170 6.8809
angles: 70.27 70.27 38.22
Positions (direct):
Pb 0.0036 0.0036 0.0455
Pb 0.8354 0.8354 0.7063
In 0.1907 0.1907 0.3756
Co 0.4702 0.4702 0.3726

Size of the total moment (μB per formula unit): 0.41
DFT total energy (eV/atom): -4.12
Calculated density (g/cm³): 9.76
Crystal system: monoclinic

# 2
Material: LaMnGa2Cl
Method: DFT, GGA-PBE
State: optimized geometry

abc: 4.6652 5.1575 4.6652
angles: 90.00 90.00 90.00
Positions (direct):
Mn 0.0000 0.0000 0.0000
Ga 0.0000 0.0000 0.5000
Ga 0.5000 0.0000 0.0000
La 0.5000 0.5000 0.5000
Cl 0.0000 0.5000 0.0000

Size of the total moment (μB per formula unit): 0.00
DFT total energy (eV/atom): -4.63
Calculated density (g/cm³): 5.45
Crystal system: tetragonal
Formation energy from raw total energies (eV/atom): -0.234

# 3
Material: SmAl3Zn2
Method: DFT, GGA-PBE
State: optimized geometry

abc: 4.3766 6.7873 8.1799
angles: 105.46 105.52 90.00
Positions (direct):
Sm 0.8821 0.8113 0.7642
Sm 0.1179 0.1887 0.2358
Al 0.9331 0.3185 0.8663
Al 0.0669 0.6815 0.1337
Al 0.3029 0.0747 0.6057
Al 0.3751 0.4897 0.7502
Al 0.6249 0.5103 0.2498
Al 0.6971 0.9253 0.3943
Zn 0.7650 0.3355 0.5299
Zn 0.2350 0.6645 0.4701
Zn 0.5251 0.8388 0.0502
Zn 0.4749 0.1612 0.9498

Size of the total moment (μB per formula unit): 0.00
DFT total energy (eV/atom): -3.35
Calculated density (g/cm³): 5.35
Crystal system: monoclinic

# 4
Material: YPOs2
Method: DFT, GGA-PBE
State: optimized geometry

abc: 7.2042 7.2042 5.8110
angles: 51.69 51.69 90.00
Positions (direct):
P 0.5000 0.5000 0.0000
P 0.2500 0.7500 0.5000
Os 0.3750 0.4632 0.7500
Os 0.2132 0.6250 0.2500
Os 0.8750 0.7868 0.7500
Os 0.5368 0.1250 0.2500
Y 0.7500 0.2500 0.5000
Y 0.0000 0.0000 0.0000

Size of the total moment (μB per formula unit): 0.00
DFT total energy (eV/atom): -8.65
Calculated density (g/cm³): 11.45
Crystal system: tetragonal

# 5
Material: SrAg2CCl
Method: DFT, GGA-PBE
State: optimized geometry

abc: 4.9161 5.3538 4.9161
angles: 90.00 90.00 90.00
Positions (direct):
Ag 0.5000 0.0000 0.0000
Ag 0.0000 0.0000 0.5000
Cl 0.0000 0.0000 0.0000
C 0.0000 0.5000 0.0000
Sr 0.5000 0.5000 0.5000

Size of the total moment (μB per formula unit): 1.24
DFT total energy (eV/atom): -2.53
Calculated density (g/cm³): 4.50
Crystal system: tetragonal
Formation energy from raw total energies (eV/atom): 1.165

# 6
Material: KMg2SnAu4
Method: DFT, GGA-PBE
State: optimized geometry

abc: 5.0435 5.0435 8.3854
angles: 72.50 72.50 60.00
Positions (direct):
K 0.0000 0.0000 0.0000
Au 0.1345 0.1345 0.5964
Au 0.3794 0.3794 0.8619
Au 0.6206 0.6206 0.1381
Au 0.8655 0.8655 0.4036
Sn 0.5000 0.5000 0.5000
Mg 0.2537 0.2537 0.2388
Mg 0.7463 0.7463 0.7612

Size of the total moment (μB per formula unit): 0.00
DFT total energy (eV/atom): -2.90
Calculated density (g/cm³): 9.53
Crystal system: trigonal

# 7
Material: CeCo2Cl8
Method: DFT, GGA-PBE
State: optimized geometry

abc: 8.3093 10.0441 10.3348
angles: 75.00 66.30 65.57
Positions (direct):
Co 0.8371 0.8537 0.9698
Co 0.1629 0.1463 0.0302
Co 0.3394 0.3537 0.4698
Co 0.6606 0.6463 0.5302
Cl 0.7021 0.9525 0.1787
Cl 0.1667 0.4525 0.6787
Cl 0.2979 0.0475 0.8213
Cl 0.8333 0.5475 0.3213
Cl 0.6260 0.2353 0.4493
Cl 0.6894 0.7353 0.9493
Cl 0.1300 0.7082 0.9732
Cl 0.8571 0.0390 0.7895
Cl 0.1429 0.9610 0.2105
Cl 0.3106 0.2647 0.0507
Cl 0.6857 0.4610 0.7105
Cl 0.3143 0.5390 0.2895
Cl 0.8700 0.2918 0.0268
Cl 0.8114 0.7918 0.5268
Cl 0.1886 0.2082 0.4732
Cl 0.3740 0.7647 0.5507
Ce 0.9978 0.7500 0.2500
Ce 0.0022 0.2500 0.7500

Size of the total moment (μB per formula unit): 5.99
DFT total energy (eV/atom): -4.33
Calculated density (g/cm³): 2.52
Crystal system: monoclinic
Formation energy from raw total energies (eV/atom): -1.153

# 8
Material: ZrTcCl2
Method: DFT, GGA-PBE
State: optimized geometry

abc: 3.3097 3.3097 8.8860
angles: 90.00 90.00 125.67
Positions (direct):
Cl 0.0000 0.0000 0.5081
Cl 0.0000 0.0000 0.9919
Tc 0.5000 0.5000 0.2500
Zr 0.5000 0.5000 0.7500

Size of the total moment (μB per formula unit): 3.01
DFT total energy (eV/atom): -5.57
Calculated density (g/cm³): 5.46
Crystal system: orthorhombic
Formation energy from raw total energies (eV/atom): 0.080
Distance to the lowest polymorph of the same formula (meV per atom): 635.0

# 9
Material: NaAl2Si
Method: DFT, GGA-PBE
State: optimized geometry

abc: 3.9753 3.9753 7.2993
angles: 74.20 74.20 60.00
Positions (direct):
Al 0.7214 0.7214 0.8358
Al 0.2786 0.2786 0.1642
Si 0.0000 0.0000 0.0000
Na 0.5000 0.5000 0.5000

Size of the total moment (μB per formula unit): 0.00
DFT total energy (eV/atom): -3.35
Calculated density (g/cm³): 1.84
Crystal system: trigonal
Formation energy from raw total energies (eV/atom): 0.209

# 10
Material: Nd10Tl3Ga3
Method: DFT, GGA-PBE
State: optimized geometry

abc: 6.9466 9.0656 9.0656
angles: 120.00 90.00 90.00
Positions (direct):
Tl 0.0000 0.5937 0.0000
Tl 0.0000 0.4063 0.4063
Tl 0.0000 0.0000 0.5937
Nd 0.2611 0.6667 0.3333
Nd 0.5000 0.0000 0.7613
Nd 0.0000 0.2364 0.0000
Nd 0.0000 0.7636 0.7636
Nd 0.0000 0.0000 0.2364
Nd 0.2611 0.3333 0.6667
Nd 0.5000 0.2387 0.2387
Nd 0.5000 0.7613 0.0000
Nd 0.7389 0.6667 0.3333
Nd 0.7389 0.3333 0.6667
Ga 0.5000 0.0000 0.4028
Ga 0.5000 0.4028 0.0000
Ga 0.5000 0.5972 0.5972

Size of the total moment (μB per formula unit): 0.00
DFT total energy (eV/atom): -4.33
Calculated density (g/cm³): 7.61
Crystal system: hexagonal

# 11
Material: MnPHCS
Method: DFT, GGA-PBE
State: optimized geometry

abc: 3.4903 2.9515 13.6331
angles: 90.00 84.52 90.00
Positions (direct):
H 0.3545 0.0000 0.2048
H 0.3545 0.5000 0.7048
S 0.2295 0.5000 0.9957
S 0.2295 0.0000 0.4957
C 0.7841 0.5000 0.3127
C 0.7841 0.0000 0.8127
P 0.7410 0.5000 0.7383
P 0.7410 0.0000 0.2383
Mn 0.2712 0.5000 0.3818
Mn 0.2712 0.0000 0.8818

Size of the total moment (μB per formula unit): 1.36
DFT total energy (eV/atom): -6.05
Calculated density (g/cm³): 3.11
Crystal system: monoclinic
Distance to the lowest polymorph of the same formula (meV per atom): 268.7

# 12
Material: TiZnO2F
Method: DFT, GGA-PBE
State: optimized geometry

abc: 3.8819 3.8819 3.8330
angles: 90.00 90.00 90.00
Positions (direct):
Zn 0.0000 0.0000 0.0000
O 0.0000 0.5000 0.0000
O 0.5000 0.0000 0.0000
F 0.0000 0.0000 0.5000
Ti 0.5000 0.5000 0.5000

Size of the total moment (μB per formula unit): 1.30
DFT total energy (eV/atom): -5.39
Calculated density (g/cm³): 4.72
Crystal system: tetragonal
Formation energy from raw total energies (eV/atom): -1.194